{"formula": "Li2Ti3Ga3O12", "functional": "PBE-GGA", "state": "optimized geometry", "e_form_raw_mev_per_atom": -2308, "vol_a3_per_atom": 11.3, "magmom_total_mub_per_fu": 1.02, "n_ef_per_ev_atom": 0.566, "lattice_angstrom": [[-4.2058, 9.2662, 2.1129], [-6.0017, -8.0890, -2.5620], [-3.8144, -0.8314, 4.5518]], "species": ["Li", "Li", "Li", "Li", "Ti", "Ti", "Ti", "Ti", "Ti", "Ti", "Ga", "Ga", "Ga", "Ga", "Ga", "Ga", "O", "O", "O", "O", "O", "O", "O", "O", "O", "O", "O", "O", "O", "O", "O", "O", "O", "O", "O", "O", "O", "O", "O", "O"], "frac_coords": [[0.0000, 0.5000, 0.5000], [0.5000, 0.0000, 0.5000], [0.0000, 0.0000, 0.5000], [0.0000, 0.0000, 0.0000], [0.3348, 0.6652, 0.5000], [0.6652, 0.3348, 0.5000], [0.8370, 0.6769, 0.4949], [0.1630, 0.3231, 0.5051], [0.3231, 0.1630, 0.5051], [0.6769, 0.8370, 0.4949], [0.2968, 0.9646, 0.1244], [0.7032, 0.0354, 0.8756], [0.0354, 0.7032, 0.8756], [0.9646, 0.2968, 0.1244], [0.6741, 0.3259, 0.0000], [0.3259, 0.6741, 0.0000], [0.0733, 0.8958, 0.2684], [0.9267, 0.1042, 0.7316], [0.1042, 0.9267, 0.7316], [0.8958, 0.0733, 0.2684], [0.7371, 0.2454, 0.7533], [0.2629, 0.7546, 0.2467], [0.7546, 0.2629, 0.2467], [0.2454, 0.7371, 0.7533], [0.2379, 0.2379, 0.3062], [0.7614, 0.7614, 0.2842], [0.7621, 0.7621, 0.6938], [0.2386, 0.2386, 0.7158], [0.6276, 0.4237, 0.7209], [0.3724, 0.5763, 0.2791], [0.5763, 0.3724, 0.2791], [0.4237, 0.6276, 0.7209], [0.0968, 0.4250, 0.2485], [0.9025, 0.5785, 0.2613], [0.5785, 0.9025, 0.2613], [0.4250, 0.0968, 0.2485], [0.9032, 0.5750, 0.7515], [0.0975, 0.4215, 0.7387], [0.4215, 0.0975, 0.7387], [0.5750, 0.9032, 0.7515]]}